(1)
Compound: ReMoBr2
Source: the Alexandria database
Functional: GGA-PBE
Structure: optimized geometry

abc: 5.3737 5.3737 7.0726
angles: 111.43 111.43 34.50
Positions (direct):
Re: 0.0000 0.0000 0.0000
Mo: 0.6673 0.6673 0.9990
Br: 0.2482 0.2482 0.7298
Br: 0.3906 0.3906 0.2685

Energy relative to the elements, uncorrected = 0.64 eV/atom
Density of states at the Fermi level = 1.29 states/eV/f.u.
E above lowest polymorph = 504.2 meV/atom

(2)
Compound: Re2MoBr
Source: the Alexandria database
Functional: GGA-PBE
Structure: optimized geometry

abc: 5.3728 5.3728 5.3728
angles: 147.90 129.84 60.80
Positions (direct):
Re: 0.0000 0.0000 0.0000
Re: 0.7518 0.2518 0.5000
Mo: 0.4696 0.4696 0.0000
Br: 0.2392 0.7392 0.5000

Energy relative to the elements, uncorrected = 0.91 eV/atom
Density of states at the Fermi level = 2.41 states/eV/f.u.
E above lowest polymorph = 318.4 meV/atom

| no. | VASP energy (eV per atom) |
| --- | --- |
| 1 | -6.0174 |
| 2 | -8.4352 |